Record 1
Entry from Alexandria: a relaxed Sc2VC2 crystal (PBE).

Cell: 6.029 6.029 3.307 Å, 90.00 90.00 90.00°
Space group P4/mbm (No. 127)
Unique sites:
Sc  0.153  0.347  0.000
V  0.000  0.000  0.500
C  0.168  0.668  0.500

Values from the calculation:
DFT formation energy	-242.4	meV per atom
D(E_F)	4.7	states/eV/cell
excess energy over the best structure of this formula in the dataset	170.4	meV/atom

---

Record 2
Entry from Alexandria: a relaxed DyH4Ir crystal (PBE).

Cell: 3.836 4.556 6.622 Å, 90.00 90.00 90.00°
Space group Immm (No. 71)
Unique sites:
Dy  0.000  0.000  0.000
H  0.000  0.267  0.326
Ir  0.000  0.000  0.500

Values from the calculation:
D(E_F)	0.4	states/eV/cell
raw total energy	-4.960	eV/atom

---

Record 3
Entry from Alexandria: a relaxed BaScGeH2 crystal (PBE).

Cell: 4.284 4.284 8.136 Å, 90.00 90.00 90.00°
Space group P4/mmm (No. 123)
Unique sites:
Ba  0.000  0.000  0.000
Sc  0.000  0.000  0.500
Ge  0.500  0.500  0.500
H  0.000  0.500  0.000

Values from the calculation:
D(E_F)	3.2	states/eV/cell
raw total energy	-3.428	eV/atom

---

Record 4
Entry from Alexandria: a relaxed Ba3Al3Ga8 crystal (PBE).

Cell: 17.111 4.639 10.258 Å, 90.00 125.29 90.00°
Space group C2/m (No. 12)
Unique sites:
Ba  0.000  0.000  0.000
Ba  0.187  0.500  0.682
Al  0.000  0.000  0.500
Al  0.164  0.500  0.028
Ga  0.005  0.500  0.716
Ga  0.149  0.000  0.424
Ga  0.150  0.000  0.878
Ga  0.155  0.500  0.290

Values from the calculation:
DFT formation energy	-297.3	meV per atom
D(E_F)	10.5	states/eV/cell
excess energy over the best structure of this formula in the dataset	9.2	meV/atom

---

Record 5
Entry from Alexandria: a relaxed CsZrCuTe4 crystal (PBE).

Cell: 7.228 6.258 10.687 Å, 90.00 106.55 90.00°
Space group P2_1/m (No. 11)
Unique sites:
Cs  0.210  0.250  0.041
Zr  0.269  0.250  0.551
Cu  0.294  0.750  0.357
Te  0.009  0.504  0.677
Te  0.444  0.750  0.601
Te  0.471  0.750  0.185

Values from the calculation:
formation energy without anion corrections	-4.3	eV/f.u.
D(E_F)	7.4	states/eV/cell